A relaxed MgTaIn2N4 crystal, computed with PBE-GGA.

The space group is I-42m (No. 121) and the conventional cell measures 4.942, 4.942 and 10.022 Å, with angles of 90.00, 90.00 and 90.00 degrees. Symmetry generates all atoms from Mg at (0.000, 0.000, 0.000), Ta at (0.000, 0.000, 0.500), In at (0.000, 0.500, 0.250) and N at (0.233, 0.233, 0.388).

As for the density of states at the Fermi level: 2.05 states/eV/f.u. The volume is 122.4 Å³/f.u. The value obtained for the raw formation energy is -0.401 eV per atom.

---

A relaxed Mg2InTcN4 crystal, computed with PBE-GGA.

The space group is Pmn2_1 (No. 31) and the conventional cell measures 7.208, 5.781 and 5.490 Å, with angles of 90.00, 90.00 and 90.00 degrees. Symmetry generates all atoms from Mg at (0.248, 0.175, 0.000), In at (0.000, 0.329, 0.497), Tc at (0.000, 0.689, 0.005), N at (0.000, 0.369, 0.930), N at (0.000, 0.701, 0.349) and N at (0.212, 0.828, 0.884).

As for the density of states at the Fermi level: 2.64 states/eV/f.u. The volume is 114.4 Å³/f.u. The value obtained for the raw formation energy is -0.258 eV per atom.

---

A relaxed MgInTeN2 crystal, computed with PBE-GGA.

The space group is P4/mmm (No. 123) and the conventional cell measures 4.292, 4.292 and 6.227 Å, with angles of 90.00, 90.00 and 90.00 degrees. Symmetry generates all atoms from Mg at (0.000, 0.000, 0.000), In at (0.500, 0.500, 0.500), Te at (0.500, 0.500, 0.000) and N at (0.000, 0.500, 0.500).

As for the density of states at the Fermi level: 2.31 states/eV/f.u. The volume is 114.7 Å³/f.u. The value obtained for the raw formation energy is 1.084 eV per atom.

---

Which formula does entry 1 have? MgTaIn2N4